Entry 1:
Crystalline PPbS3 at its relaxed geometry, computed with PBE-GGA.

Cell and atoms, written as POSCAR:
```
PPbS3
1.0
7.600 0.000 0.000
0.000 6.799 -0.002
0.000 6.500 9.418
P Pb S
4 4 12
Direct
0.391 0.371 0.066
0.109 0.371 0.566
0.609 0.629 0.934
0.891 0.629 0.434
0.877 0.282 0.250
0.377 0.718 0.250
0.123 0.718 0.750
0.623 0.282 0.750
0.810 0.775 0.539
0.800 0.413 0.940
0.700 0.413 0.440
0.310 0.225 0.961
0.496 0.132 0.261
0.004 0.132 0.761
0.200 0.587 0.060
0.190 0.225 0.461
0.504 0.868 0.739
0.300 0.587 0.560
0.996 0.868 0.239
0.690 0.775 0.039
```

Computed properties:
ΔE_f (raw), eV/f.u.: -2.14
Space-group type: P2_1/c
Total magnetization, μB per cell: 0.0

***

Entry 2:
Crystalline Tb3PmPrTh at its relaxed geometry, computed with PBE-GGA.

Cell and atoms, written as POSCAR:
```
Tb3PmPrTh
1.0
5.100 0.000 0.000
0.000 7.959 -1.190
0.000 -3.338 10.306
Tb Pm Pr Th
6 2 2 2
Direct
0.750 0.875 0.044
0.250 0.125 0.956
0.250 0.632 0.457
0.750 0.368 0.543
0.750 0.379 0.209
0.250 0.621 0.791
0.250 0.628 0.130
0.750 0.372 0.870
0.250 0.122 0.294
0.750 0.878 0.706
0.250 0.122 0.622
0.750 0.878 0.378
```

Computed properties:
Space-group type: P2_1/m
Formation energy from the elements, eV/f.u.: 0.2
Total magnetization, μB per cell: 0.0

***

Entry 3:
Crystalline Na3Zn4Au2 at its relaxed geometry, computed with PBE-GGA.

Cell and atoms, written as POSCAR:
```
Na3Zn4Au2
1.0
-0.170 -4.371 0.893
5.185 2.341 1.284
-4.932 1.585 6.823
Na Zn Au
3 4 2
Direct
0.394 0.789 0.635
0.000 0.000 0.000
0.606 0.211 0.365
0.733 0.465 0.076
0.102 0.203 0.620
0.898 0.797 0.380
0.267 0.535 0.924
0.291 0.581 0.243
0.709 0.419 0.757
```

Computed properties:
Space-group type: C2/m
Formation energy from the elements, eV/f.u.: -1.7
Total magnetization, μB per cell: 0.0

***

Entry 4:
Crystalline CeY2Sb2 at its relaxed geometry, computed with PBE-GGA.

Cell and atoms, written as POSCAR:
```
CeY2Sb2
1.0
7.865 0.764 1.015
-1.949 7.658 1.015
-2.431 -3.461 4.395
Ce Y Sb
2 4 4
Direct
0.895 0.605 0.750
0.105 0.395 0.250
0.224 0.917 0.522
0.417 0.724 0.022
0.776 0.083 0.478
0.583 0.276 0.978
0.176 0.324 0.750
0.375 0.125 0.250
0.625 0.875 0.750
0.824 0.676 0.250
```

Computed properties:
ΔE_f (raw), eV/f.u.: -3.12
Space-group type: C2/c
Total magnetization, μB per cell: 2.6

***

> Look up the total magnetization of the fourth one.

2.6 μB per cell

***

> Which value of total magnetization does entry 3 give?

0.0 μB per cell

***

> What is the total magnetization in the first record?

0.0 μB per cell